[1]
# GdTaOs2 | OQMD | GGA-PBE | optimized geometry
data_GdTaOs2
_chemical_formula_sum 'Gd4 Ta4 Os8'
_space_group_name_H-M_alt 'C m c m'
_space_group_IT_number 63
_space_group_name_Hall '-C 2c 2'
_cell_length_a 6.6772
_cell_length_b 8.1937
_cell_length_c 5.3734
_cell_angle_alpha 90.00
_cell_angle_beta 90.00
_cell_angle_gamma 90.00
loop_
_atom_site_label
_atom_site_type_symbol
_atom_site_fract_x
_atom_site_fract_y
_atom_site_fract_z
Gd1 Gd 0.0000 0.0000 0.0000
Ta1 Ta 0.0000 0.3989 0.2500
Os1 Os 0.1878 0.2951 0.7500
# * total energy: -9.602 eV per atom
# * formation energy: 0.14 eV/atom
# * ρ: 16.2 g/cm3

***

[2]
# TbGdOs | OQMD | GGA-PBE | optimized geometry
data_TbGdOs
_chemical_formula_sum 'Tb4 Gd4 Os4'
_space_group_name_H-M_alt 'F -4 3 m'
_space_group_IT_number 216
_space_group_name_Hall 'F -4 2 3'
_cell_length_a 6.6961
_cell_length_b 6.6961
_cell_length_c 6.6961
_cell_angle_alpha 90.00
_cell_angle_beta 90.00
_cell_angle_gamma 90.00
loop_
_atom_site_label
_atom_site_type_symbol
_atom_site_fract_x
_atom_site_fract_y
_atom_site_fract_z
Tb1 Tb 0.0000 0.0000 0.0000
Gd1 Gd 0.2500 0.2500 0.7500
Os1 Os 0.0000 0.0000 0.5000
# * total energy: -6.104 eV per atom
# * formation energy: 0.73 eV/atom
# * ρ: 11.2 g/cm3

***

[3]
# Gd3Tc3Os2 | OQMD | GGA-PBE | optimized geometry
data_Gd3Tc3Os2
_chemical_formula_sum 'Gd3 Tc3 Os2'
_space_group_name_H-M_alt 'P -4 m 2'
_space_group_IT_number 115
_cell_length_a 4.4375
_cell_length_b 4.4375
_cell_length_c 10.2638
_cell_angle_alpha 90.00
_cell_angle_beta 90.00
_cell_angle_gamma 90.00
loop_
_space_group_symop_operation_xyz
'x,y,z'
'y,-x,-z'
'-x,-y,z'
'-y,x,-z'
'-x,y,z'
'-y,-x,-z'
'x,-y,z'
'y,x,-z'
loop_
_atom_site_label
_atom_site_type_symbol
_atom_site_fract_x
_atom_site_fract_y
_atom_site_fract_z
Gd1 Gd 0.0000 0.0000 0.0000
Gd2 Gd 0.0000 0.0000 0.5000
Gd3 Gd 0.5000 0.5000 0.0000
Tc1 Tc 0.5000 0.5000 0.2802
Tc2 Tc 0.5000 0.5000 0.5000
Os1 Os 0.0000 0.5000 0.8148
# * total energy: -7.510 eV per atom
# * formation energy: 0.93 eV/atom
# * ρ: 9.4 g/cm3

***

[4]
# Gd2Tm3ZrTe2Os | OQMD | GGA-PBE | optimized geometry
data_Gd2Tm3ZrTe2Os
_chemical_formula_sum 'Gd4 Tm6 Zr2 Te4 Os2'
_space_group_name_H-M_alt 'A m m 2'
_space_group_IT_number 38
_cell_length_a 3.9453
_cell_length_b 13.8806
_cell_length_c 8.3843
_cell_angle_alpha 90.00
_cell_angle_beta 90.00
_cell_angle_gamma 90.00
loop_
_space_group_symop_operation_xyz
'x,y,z'
'-x,-y,z'
'-x,y,z'
'x,-y,z'
'x,y+1/2,z+1/2'
'-x,-y+1/2,z+1/2'
'-x,y+1/2,z+1/2'
'x,-y+1/2,z+1/2'
loop_
_atom_site_label
_atom_site_type_symbol
_atom_site_fract_x
_atom_site_fract_y
_atom_site_fract_z
Gd1 Gd 0.0000 0.1972 0.0000
Tm1 Tm 0.5000 0.0000 0.0399
Tm2 Tm 0.5000 0.1175 0.6744
Zr1 Zr 0.0000 0.0000 0.4030
Te1 Te 0.5000 0.1587 0.3043
Os1 Os 0.0000 0.0000 0.8089
# * total energy: -6.089 eV per atom
# * ρ: 9.8 g/cm3

***

[5]
# Gd3Zr3Te2Os | OQMD | GGA-PBE | optimized geometry
data_Gd3Zr3Te2Os
_chemical_formula_sum 'Gd3 Zr3 Te2 Os1'
_space_group_name_H-M_alt 'P -6 2 m'
_space_group_IT_number 189
_space_group_name_Hall 'P -6 -2'
_cell_length_a 8.1855
_cell_length_b 8.1855
_cell_length_c 3.7655
_cell_angle_alpha 90.00
_cell_angle_beta 90.00
_cell_angle_gamma 120.00
loop_
_atom_site_label
_atom_site_type_symbol
_atom_site_fract_x
_atom_site_fract_y
_atom_site_fract_z
Gd1 Gd 0.0000 0.7512 0.0000
Zr1 Zr 0.0000 0.4033 0.5000
Te1 Te 0.3333 0.6667 0.0000
Os1 Os 0.0000 0.0000 0.5000
# * total energy: -6.775 eV per atom
# * ρ: 9.1 g/cm3

***

[6]
# Gd3Zr3Te2Os | OQMD | GGA-PBE | optimized geometry
data_Gd3Zr3Te2Os
_chemical_formula_sum 'Gd3 Zr3 Te2 Os1'
_space_group_name_H-M_alt 'P -6 2 m'
_space_group_IT_number 189
_space_group_name_Hall 'P -6 -2'
_cell_length_a 8.1479
_cell_length_b 8.1479
_cell_length_c 3.8621
_cell_angle_alpha 90.00
_cell_angle_beta 90.00
_cell_angle_gamma 120.00
loop_
_atom_site_label
_atom_site_type_symbol
_atom_site_fract_x
_atom_site_fract_y
_atom_site_fract_z
Gd1 Gd 0.0000 0.4003 0.0000
Zr1 Zr 0.0000 0.7627 0.5000
Te1 Te 0.3333 0.6667 0.5000
Os1 Os 0.0000 0.0000 0.0000
# * total energy: -7.040 eV per atom
# * ρ: 8.9 g/cm3